Record 1
The following is a PBE calculation of a geometry-optimized AlVGa2Ge structure, from Alexandria.

Geometry as POSCAR:
```
AlVGa2Ge
1.0
4.748 0.000 0.000
0.000 4.743 0.000
0.000 0.000 4.748
Ge Ga V Al
1 2 1 1
Direct
0.500 0.500 0.500
0.000 0.000 0.500
0.500 0.000 0.000
0.000 0.500 0.000
0.000 0.000 0.000
```

## Properties
- Symmetry: P4/mmm (123)
- Formation energy: 907 meV/atom
- Spin magnetization: 0.2 μB/f.u.
- Electronic total energy: -3.799 eV/atom
- V: 21.38 Å³/atom

---

Record 2
The following is a PBE calculation of a geometry-optimized AlGa2GeW structure, from Alexandria.

Geometry as POSCAR:
```
AlGa2GeW
1.0
4.913 0.000 0.000
0.000 4.893 0.000
0.000 0.000 4.913
Ge Al W Ga
1 1 1 2
Direct
0.500 0.500 0.500
0.000 0.500 0.000
0.000 0.000 0.000
0.500 0.000 0.000
0.000 0.000 0.500
```

## Properties
- Symmetry: P4/mmm (123)
- Formation energy: 770 meV/atom
- Spin magnetization: 0.0 μB/f.u.
- Electronic total energy: -4.703 eV/atom
- V: 23.62 Å³/atom